Computed, not measured: a geometry-optimized BaBe2Fe structure at the PBE-GGA level of DFT.

## Properties
V: 161.2 Å³/cell
Crystal system: tetragonal
DOS at the Fermi energy: 7.14 states/eV/cell
Magnetic moment: 0.27 μB per atom
ΔE_f: 0.598 eV per atom
Total energy: -3.8613 eV per atom

```
8
Lattice="-2.2807 2.2807 7.7453 2.2807 -2.2807 7.7453 2.2807 2.2807 -7.7453" Properties=species:S:1:pos:R:3 pbc="T T T"
Ba 2.2807 1.1404 1.9363
Ba 0.0000 1.1404 5.8090
Be 0.0000 0.0000 0.0000
Be 1.1404 1.1404 -3.8727
Be 1.1404 -1.1404 3.8727
Be 0.0000 2.2807 0.0000
Fe 2.2807 -1.1404 5.8090
Fe 0.0000 3.4211 1.9363
```

---

Computed, not measured: a geometry-optimized BaBe2Fe structure at the PBE-GGA level of DFT.

## Properties
V: 88.8 Å³/cell
Crystal system: orthorhombic
DOS at the Fermi energy: 4.37 states/eV/cell
Magnetic moment: 0.42 μB per atom
ΔE_f: 0.795 eV per atom
Total energy: -3.6648 eV per atom

```
4
Lattice="-1.9276 3.0469 3.7796 1.9276 -3.0469 3.7796 1.9276 3.0469 -3.7796" Properties=species:S:1:pos:R:3 pbc="T T T"
Ba 0.0000 0.0000 0.0000
Be 1.9276 0.0000 2.7135
Be 0.0000 3.0469 1.0662
Fe 0.0000 0.0000 3.7796
```

---

Computed, not measured: a geometry-optimized BaBeFe2 structure at the PBE-GGA level of DFT.

## Properties
V: 174.9 Å³/cell
Crystal system: tetragonal
DOS at the Fermi energy: 6.67 states/eV/cell
Magnetic moment: 1.01 μB per atom
ΔE_f: 0.677 eV per atom
Total energy: -4.9663 eV per atom

```
8
Lattice="-2.3341 2.3341 8.0281 2.3341 -2.3341 8.0281 2.3341 2.3341 -8.0281" Properties=species:S:1:pos:R:3 pbc="T T T"
Ba 2.3341 1.1670 2.0070
Ba 0.0000 1.1670 6.0211
Be 2.3341 -1.1670 6.0211
Be 0.0000 3.5011 2.0070
Fe 0.0000 0.0000 0.0000
Fe 1.1670 1.1670 -4.0141
Fe 1.1670 -1.1670 4.0141
Fe 0.0000 2.3341 0.0000
```

---

Computed, not measured: a geometry-optimized BaBeFe2 structure at the PBE-GGA level of DFT.

## Properties
V: 72.7 Å³/cell
Crystal system: orthorhombic
DOS at the Fermi energy: 4.23 states/eV/cell
Magnetic moment: 1.26 μB per atom
ΔE_f: 1.169 eV per atom
Total energy: -4.4743 eV per atom

```
4
Lattice="3.1357 0.0000 0.0000 0.0000 4.7434 0.0000 0.0000 0.0000 4.8905" Properties=species:S:1:pos:R:3 pbc="T T T"
Ba 0.0000 0.0000 0.0000
Be 1.5679 0.0000 2.4453
Fe 0.0000 2.3717 2.4453
Fe 1.5679 2.3717 0.0000
```